(1)
# BaInAs2

Crystalline BaInAs2 at its relaxed geometry (PBE-GGA, Alexandria via LeMat-Bulk).

Results
The formation energy comes out at -297 meV per atom. As for the density: 6.1 g/cm3. As for the total energy: -15.1 eV/cell.

Cell: 5.7971 5.7971 5.7971 Å, 130.47 130.45 72.67°
Last column: nearest neighbours and their distance in Å.
Fractional coordinates of all 4 atoms:
As: 0.4999 0.4999 0.0000  4 In 3.37, 4 Ba 3.37, 4 As 3.43
As: 0.0001 0.0001 0.0000  4 In 3.37, 4 Ba 3.37, 4 As 3.43
Ba: 0.7500 0.2500 0.5000  8 As 3.37, 4 In 3.43
In: 0.2500 0.7500 0.5000  8 As 3.37, 4 Ba 3.43



(2)
# LaTc3Au

Crystalline LaTc3Au at its relaxed geometry (PBE-GGA, Alexandria via LeMat-Bulk).

Results
The formation energy comes out at 1626 meV per atom. As for the density: 8.9 g/cm3. As for the total energy: -31.2 eV/cell.

Cell: 4.9006 4.9006 4.9006 Å, 90.00 90.00 90.00°
Last column: nearest neighbours and their distance in Å.
Fractional coordinates of all 5 atoms:
Tc: 0.5000 0.0000 0.0000  2 Au 2.45
Tc: 0.0000 0.5000 0.0000  2 Au 2.45
Tc: 0.0000 0.0000 0.5000  2 Au 2.45
La: 0.5000 0.5000 0.5000  12 Tc 3.47
Au: 0.0000 0.0000 0.0000  6 Tc 2.45



(3)
# DySbPd6

Crystalline DySbPd6 at its relaxed geometry (PBE-GGA, Alexandria via LeMat-Bulk).

Results
As for the density: 11.2 g/cm3. As for the total energy: -44.8 eV/cell.

Cell: 4.1165 5.7545 5.7545 Å, 90.02 90.00 90.00°
Last column: nearest neighbours and their distance in Å.
Fractional coordinates of all 8 atoms:
Pd: 0.0000 0.2518 0.7482  8 Pd 2.86-2.90, 2 Sb 2.88, 2 Dy 2.90
Pd: 0.0000 0.2519 0.2519  8 Pd 2.86-2.90, 2 Sb 2.88, 2 Dy 2.90
Pd: 0.0000 0.7481 0.7481  8 Pd 2.86-2.90, 2 Sb 2.88, 2 Dy 2.90
Pd: 0.5000 0.5000 0.0000  2 Sb 2.88, 2 Dy 2.88, 8 Pd 2.89
Pd: 0.0000 0.7482 0.2518  8 Pd 2.86-2.90, 2 Sb 2.88, 2 Dy 2.90
Pd: 0.5000 0.0000 0.5000  2 Dy 2.88, 2 Sb 2.88, 8 Pd 2.89
Sb: 0.5000 0.5000 0.5000  12 Pd 2.88
Dy: 0.5000 0.0000 0.0000  12 Pd 2.88-2.90



(4)
# Ba2Pb2S

Crystalline Ba2Pb2S at its relaxed geometry (PBE-GGA, Alexandria via LeMat-Bulk).

Results
As for the density: 5.7 g/cm3. As for the total energy: -37.4 eV/cell.

Cell: 8.6639 8.6639 5.5817 Å, 90.00 90.00 90.00°
Last column: nearest neighbours and their distance in Å.
Fractional coordinates of all 10 atoms:
Ba: 0.6942 0.1942 0.0000  2 S 3.14
Ba: 0.1942 0.3058 0.0000  2 S 3.14
Ba: 0.3058 0.8058 0.0000  2 S 3.14
Ba: 0.8058 0.6942 0.0000  2 S 3.14
S: 0.5000 0.5000 0.0000  4 Ba 3.14
S: 0.0000 0.0000 0.0000  4 Ba 3.14
Pb: 0.8841 0.3841 0.5000  1 Pb 2.84
Pb: 0.6159 0.8841 0.5000  1 Pb 2.84
Pb: 0.3841 0.1159 0.5000  1 Pb 2.84
Pb: 0.1159 0.6159 0.5000  1 Pb 2.84



(5)
# BaLiCo

Crystalline BaLiCo at its relaxed geometry (PBE-GGA, Alexandria via LeMat-Bulk).

Results
The formation energy comes out at 305 meV per atom. As for the density: 4.1 g/cm3. As for the total energy: -40.1 eV/cell.

Cell: 7.7458 4.4268 11.9320 Å, 90.00 126.76 90.00°
Last column: nearest neighbours and their distance in Å.
Fractional coordinates of all 12 atoms:
Li: 0.5929 0.5000 0.7277  3 Co 2.84-2.85, 2 Li 2.86
Li: 0.4071 0.5000 0.2723  3 Co 2.84-2.85, 2 Li 2.86
Li: 0.4071 0.0000 0.7723  3 Co 2.84-2.85, 2 Li 2.86
Li: 0.5929 0.0000 0.2277  3 Co 2.84-2.85, 2 Li 2.86
Ba: 0.1857 0.0000 0.4277  4 Co 3.22-3.23, 1 Li 3.38
Ba: 0.8143 0.0000 0.5723  4 Co 3.22-3.23, 1 Li 3.38
Ba: 0.8143 0.5000 0.0723  4 Co 3.22-3.23, 1 Li 3.38
Ba: 0.1857 0.5000 0.9277  4 Co 3.22-3.23, 1 Li 3.38
Co: 0.8541 0.0000 0.8915  1 Co 2.19
Co: 0.1459 0.5000 0.6085  1 Co 2.19
Co: 0.1459 0.0000 0.1085  1 Co 2.19
Co: 0.8541 0.5000 0.3915  1 Co 2.19



(6)
# BaSi3

Crystalline BaSi3 at its relaxed geometry (PBE-GGA, Alexandria via LeMat-Bulk).

Results
As for the density: 3.9 g/cm3. As for the total energy: -31.4 eV/cell.

Cell: 5.7330 5.7330 5.7330 Å, 90.00 90.00 90.00°
Last column: nearest neighbours and their distance in Å.
Fractional coordinates of all 8 atoms:
Si: 0.5000 0.0000 0.7500  2 Si 2.87, 4 Ba 3.20
Si: 0.2500 0.5000 0.0000  2 Si 2.87, 4 Ba 3.20
Si: 0.7500 0.5000 0.0000  2 Si 2.87, 4 Ba 3.20
Si: 0.0000 0.2500 0.5000  2 Si 2.87, 4 Ba 3.20
Si: 0.5000 0.0000 0.2500  2 Si 2.87, 4 Ba 3.20
Si: 0.0000 0.7500 0.5000  2 Si 2.87, 4 Ba 3.20
Ba: 0.5000 0.5000 0.5000  12 Si 3.20
Ba: 0.0000 0.0000 0.0000  12 Si 3.20



(7)
# ZrHgMo2

Crystalline ZrHgMo2 at its relaxed geometry (PBE-GGA, Alexandria via LeMat-Bulk).

Results
The formation energy comes out at 678 meV per atom. As for the density: 10.0 g/cm3. As for the total energy: -55.6 eV/cell.

Cell: 3.9627 3.9627 10.5801 Å, 79.21 79.21 90.00°
Last column: nearest neighbours and their distance in Å.
Fractional coordinates of all 8 atoms:
Mo: 0.3750 0.4045 0.7500  2 Mo 2.64, 2 Zr 2.87, 2 Hg 2.95
Mo: 0.8750 0.8455 0.7500  2 Mo 2.64, 2 Zr 2.87, 2 Hg 2.95
Mo: 0.1545 0.6250 0.2500  2 Mo 2.64, 2 Zr 2.87, 2 Hg 2.95
Mo: 0.5955 0.1250 0.2500  2 Mo 2.64, 2 Zr 2.87, 2 Hg 2.95
Hg: 0.7500 0.2500 0.5000  4 Zr 2.80, 4 Mo 2.95
Hg: 0.0000 0.0000 0.0000  4 Zr 2.80, 4 Mo 2.95
Zr: 0.5000 0.5000 0.0000  4 Hg 2.80, 4 Mo 2.87
Zr: 0.2500 0.7500 0.5000  4 Hg 2.80, 4 Mo 2.87



(8)
# BaMn2Al

Crystalline BaMn2Al at its relaxed geometry (PBE-GGA, Alexandria via LeMat-Bulk).

Results
The formation energy comes out at 801 meV per atom. As for the density: 4.9 g/cm3. As for the total energy: -20.8 eV/cell.

Cell: 3.4346 5.4594 4.9174 Å, 90.00 90.00 90.00°
Last column: nearest neighbours and their distance in Å.
Fractional coordinates of all 4 atoms:
Mn: 0.0000 0.0000 0.0000  4 Al 3.00, 4 Mn 3.22
Mn: 0.5000 0.5000 0.0000  4 Ba 3.00, 4 Mn 3.22
Ba: 0.0000 0.5000 0.5000  4 Mn 3.00, 4 Al 3.22
Al: 0.5000 0.0000 0.5000  4 Mn 3.00, 4 Ba 3.22